Density functional theory data (GGA-PBE) for an optimized crystal structure of TlCdRu2.

Results
* SG: No. 99
* ΔH_f (0 K): 287 meV per atom
* DOS at the Fermi energy: 3.5 states/eV/f.u.

Cell: 2.9367 2.9367 8.6942 Å, 90.00 90.00 90.00°
Atoms (fractional coordinates):
Tl (0.0000, 0.0000, 0.0000)
Cd (0.5000, 0.5000, 0.3311)
Ru (0.0000, 0.0000, 0.5658)
Ru (0.5000, 0.5000, 0.7435)

---

Density functional theory data (GGA-PBE) for an optimized crystal structure of NaZr2Ge.

Results
* SG: No. 122
* ΔH_f (0 K): 269 meV per atom
* DOS at the Fermi energy: 3.5 states/eV/f.u.

Cell: 6.3014 6.3014 6.3014 Å, 102.19 102.19 125.28°
Atoms (fractional coordinates):
Na (0.0000, 0.0000, 0.0000)
Na (0.7500, 0.2500, 0.5000)
Zr (0.1561, 0.6250, 0.0311)
Zr (0.3750, 0.4061, 0.5311)
Zr (0.5939, 0.1250, 0.9689)
Zr (0.8750, 0.8439, 0.4689)
Ge (0.2500, 0.7500, 0.5000)
Ge (0.5000, 0.5000, 0.0000)

---

Density functional theory data (GGA-PBE) for an optimized crystal structure of Tb5Nd4Tm.

Results
* SG: No. 12
* offset from the most stable computed form: 0.0 meV per atom
* ΔH_f (0 K): 222 meV per atom
* DOS at the Fermi energy: 13.8 states/eV/f.u.

Cell: 9.2382 9.2382 10.8787 Å, 102.30 102.30 22.43°
Atoms (fractional coordinates):
Tb (0.0000, 0.0000, 0.0000)
Tb (0.3318, 0.3318, 0.9744)
Tb (0.3380, 0.3380, 0.5845)
Tb (0.6620, 0.6620, 0.4155)
Tb (0.6682, 0.6682, 0.0256)
Nd (0.1772, 0.1772, 0.7235)
Nd (0.4780, 0.4780, 0.2395)
Nd (0.5220, 0.5220, 0.7605)
Nd (0.8228, 0.8228, 0.2765)
Tm (0.0000, 0.0000, 0.5000)

---

Density functional theory data (GGA-PBE) for an optimized crystal structure of HOsIN2.

Results
* SG: No. 123
* offset from the most stable computed form: 0.0 meV per atom
* DOS at the Fermi energy: 2.1 states/eV/f.u.

Cell: 3.7582 3.7582 5.8181 Å, 90.00 90.00 90.00°
Atoms (fractional coordinates):
H (0.0000, 0.0000, 0.0000)
Os (0.5000, 0.5000, 0.5000)
I (0.5000, 0.5000, 0.0000)
N (0.0000, 0.5000, 0.5000)
N (0.5000, 0.0000, 0.5000)

---

Density functional theory data (GGA-PBE) for an optimized crystal structure of AsAu3.

Results
* SG: No. 71
* offset from the most stable computed form: 33.2 meV per atom
* ΔH_f (0 K): 139 meV per atom
* DOS at the Fermi energy: 1.1 states/eV/f.u.

Cell: 5.8502 5.8502 5.8502 Å, 151.17 128.85 59.78°
Atoms (fractional coordinates):
As (0.0000, 0.0000, 0.0000)
Au (0.2442, 0.7442, 0.5000)
Au (0.5000, 0.5000, 0.0000)
Au (0.7558, 0.2558, 0.5000)

---

Density functional theory data (GGA-PBE) for an optimized crystal structure of Sc2CdTe.

Results
* SG: No. 10
* offset from the most stable computed form: 63.2 meV per atom
* DOS at the Fermi energy: 2.8 states/eV/f.u.

Cell: 4.1991 4.0781 5.8957 Å, 90.00 91.18 90.00°
Atoms (fractional coordinates):
Sc (0.0000, 0.0000, 0.0000)
Sc (0.5000, 0.5000, 0.5000)
Cd (0.0000, 0.0000, 0.5000)
Te (0.5000, 0.5000, 0.0000)

---

Density functional theory data (GGA-PBE) for an optimized crystal structure of Dy4Co2Ir.

Results
* SG: No. 5
* ΔH_f (0 K): -312 meV per atom
* DOS at the Fermi energy: 4.0 states/eV/f.u.

Cell: 7.3201 7.3201 8.5424 Å, 125.56 125.56 69.06°
Atoms (fractional coordinates):
Dy (0.0550, 0.0550, 0.2398)
Dy (0.0706, 0.5411, 0.2566)
Dy (0.1656, 0.4457, 0.8553)
Dy (0.4589, 0.9294, 0.7434)
Dy (0.5543, 0.8344, 0.1447)
Dy (0.5636, 0.3146, 0.6239)
Dy (0.6854, 0.4364, 0.3761)
Dy (0.9450, 0.9450, 0.7602)
Co (0.2444, 0.6214, 0.6828)
Co (0.3156, 0.1901, 0.0724)
Co (0.3786, 0.7556, 0.3172)
Co (0.8099, 0.6844, 0.9276)
Ir (0.6542, 0.3458, 0.0000)
Ir (0.9696, 0.0304, 0.5000)

---

Density functional theory data (GGA-PBE) for an optimized crystal structure of Rb3Sc3PaSe8.

Results
* SG: No. 166
* total energy: -5.52 eV per atom
* DOS at the Fermi energy: 5.6 states/eV/f.u.

Cell: 9.3333 9.3333 9.3333 Å, 51.21 51.21 51.21°
Atoms (fractional coordinates):
Rb (0.0000, 0.5000, 0.5000)
Rb (0.5000, 0.0000, 0.5000)
Rb (0.5000, 0.5000, 0.0000)
Sc (0.0000, 0.0000, 0.5000)
Sc (0.0000, 0.5000, 0.0000)
Sc (0.5000, 0.0000, 0.0000)
Pa (0.5000, 0.5000, 0.5000)
Se (0.2187, 0.7352, 0.7352)
Se (0.2282, 0.2282, 0.2282)
Se (0.2648, 0.2648, 0.7813)
Se (0.2648, 0.7813, 0.2648)
Se (0.7352, 0.2187, 0.7352)
Se (0.7352, 0.7352, 0.2187)
Se (0.7718, 0.7718, 0.7718)
Se (0.7813, 0.2648, 0.2648)

---

Density functional theory data (GGA-PBE) for an optimized crystal structure of Pu2TlP.

Results
* SG: No. 166
* offset from the most stable computed form: 68.0 meV per atom
* ΔH_f (0 K): -465 meV per atom
* DOS at the Fermi energy: 18.7 states/eV/f.u.

Cell: 8.9849 8.9849 8.9849 Å, 24.24 24.24 24.24°
Atoms (fractional coordinates):
Pu (0.2324, 0.2324, 0.2324)
Pu (0.7676, 0.7676, 0.7676)
Tl (0.0000, 0.0000, 0.0000)
P (0.5000, 0.5000, 0.5000)

---

Density functional theory data (GGA-PBE) for an optimized crystal structure of PmSc2Rh3.

Results
* SG: No. 123
* ΔH_f (0 K): -868 meV per atom
* DOS at the Fermi energy: 3.3 states/eV/f.u.

Cell: 3.3025 3.3025 10.1185 Å, 90.00 90.00 90.00°
Atoms (fractional coordinates):
Pm (0.0000, 0.0000, 0.0000)
Sc (0.0000, 0.0000, 0.3420)
Sc (0.0000, 0.0000, 0.6580)
Rh (0.5000, 0.5000, 0.1908)
Rh (0.5000, 0.5000, 0.5000)
Rh (0.5000, 0.5000, 0.8092)

---

Density functional theory data (GGA-PBE) for an optimized crystal structure of LiCrTe2N.

Results
* SG: No. 123
* offset from the most stable computed form: 951.0 meV per atom
* DOS at the Fermi energy: 3.3 states/eV/f.u.

Cell: 5.2114 5.2114 3.4858 Å, 90.00 90.00 90.00°
Atoms (fractional coordinates):
Li (0.0000, 0.0000, 0.0000)
Cr (0.5000, 0.5000, 0.5000)
Te (0.0000, 0.5000, 0.0000)
Te (0.5000, 0.0000, 0.0000)
N (0.0000, 0.0000, 0.5000)

---

Density functional theory data (GGA-PBE) for an optimized crystal structure of Pr2BeSiAu6.

Results
* SG: No. 2
* total energy: -4.32 eV per atom
* DOS at the Fermi energy: 4.7 states/eV/f.u.

Cell: 6.5538 6.5656 6.7605 Å, 90.19 118.93 119.77°
Atoms (fractional coordinates):
Pr (0.0662, 0.2836, 0.3523)
Pr (0.9338, 0.7164, 0.6477)
Be (0.5000, 0.5000, 0.0000)
Si (0.5000, 0.0000, 0.5000)
Au (0.0150, 0.2960, 0.8120)
Au (0.4013, 0.1983, 0.1833)
Au (0.4742, 0.7772, 0.1824)
Au (0.5258, 0.2228, 0.8176)
Au (0.5987, 0.8017, 0.8167)
Au (0.9850, 0.7040, 0.1880)

---

Density functional theory data (GGA-PBE) for an optimized crystal structure of MnIrRu2.

Results
* SG: No. 12
* offset from the most stable computed form: 49.2 meV per atom
* ΔH_f (0 K): 1 meV per atom
* DOS at the Fermi energy: 3.9 states/eV/f.u.

Cell: 4.6507 4.6507 4.6246 Å, 99.88 99.88 33.80°
Atoms (fractional coordinates):
Mn (0.0000, 0.0000, 0.0000)
Ir (0.5000, 0.5000, 0.5000)
Ru (0.2505, 0.2505, 0.7525)
Ru (0.7495, 0.7495, 0.2475)

---

Density functional theory data (GGA-PBE) for an optimized crystal structure of Li3Al2Zn9.

Results
* SG: No. 71
* ΔH_f (0 K): -67 meV per atom
* DOS at the Fermi energy: 4.1 states/eV/f.u.

Cell: 8.0147 8.0147 8.0147 Å, 149.33 113.12 75.36°
Atoms (fractional coordinates):
Li (0.0000, 0.0000, 0.0000)
Li (0.2864, 0.2864, 0.0000)
Li (0.7136, 0.7136, 0.0000)
Al (0.3163, 0.5000, 0.8163)
Al (0.6837, 0.5000, 0.1837)
Zn (0.0271, 0.6670, 0.3601)
Zn (0.1490, 0.8644, 0.2846)
Zn (0.3069, 0.6670, 0.6399)
Zn (0.4203, 0.1356, 0.2846)
Zn (0.5000, 0.0000, 0.5000)
Zn (0.5797, 0.8644, 0.7154)
Zn (0.6931, 0.3330, 0.3601)
Zn (0.8510, 0.1356, 0.7154)
Zn (0.9729, 0.3330, 0.6399)

---

Density functional theory data (GGA-PBE) for an optimized crystal structure of Pu2HfIn.

Results
* SG: No. 166
* offset from the most stable computed form: 280.4 meV per atom
* ΔH_f (0 K): 250 meV per atom
* DOS at the Fermi energy: 14.9 states/eV/f.u.

Cell: 11.8750 11.8750 11.8750 Å, 15.62 15.62 15.62°
Atoms (fractional coordinates):
Pu (0.0920, 0.0920, 0.0920)
Pu (0.9080, 0.9080, 0.9080)
Hf (0.5000, 0.5000, 0.5000)
In (0.0000, 0.0000, 0.0000)

---

Density functional theory data (GGA-PBE) for an optimized crystal structure of CsRbSc2S.

Results
* SG: No. 123
* total energy: -2.35 eV per atom
* DOS at the Fermi energy: 6.8 states/eV/f.u.

Cell: 5.3566 5.3566 6.5479 Å, 90.00 90.00 90.00°
Atoms (fractional coordinates):
Cs (0.0000, 0.0000, 0.0000)
Rb (0.0000, 0.0000, 0.5000)
Sc (0.0000, 0.5000, 0.0000)
Sc (0.5000, 0.0000, 0.0000)
S (0.5000, 0.5000, 0.5000)

---

Density functional theory data (GGA-PBE) for an optimized crystal structure of LaSmN2.

Results
* SG: No. 194
* total energy: -7.95 eV per atom
* DOS at the Fermi energy: 0.0 states/eV/f.u.

Cell: 3.6038 3.6038 12.1949 Å, 90.00 90.00 120.00°
Atoms (fractional coordinates):
La (0.3333, 0.6667, 0.2500)
La (0.6667, 0.3333, 0.7500)
Sm (0.0000, 0.0000, 0.0000)
Sm (0.0000, 0.0000, 0.5000)
N (0.3333, 0.6667, 0.6191)
N (0.3333, 0.6667, 0.8809)
N (0.6667, 0.3333, 0.1191)
N (0.6667, 0.3333, 0.3809)

---

Density functional theory data (GGA-PBE) for an optimized crystal structure of Co2PdRh2.

Results
* SG: No. 127
* offset from the most stable computed form: 0.0 meV per atom
* ΔH_f (0 K): 141 meV per atom
* DOS at the Fermi energy: 7.5 states/eV/f.u.

Cell: 7.0913 7.0913 2.7330 Å, 90.00 90.00 90.00°
Atoms (fractional coordinates):
Co (0.1227, 0.3773, 0.0000)
Co (0.3773, 0.8773, 0.0000)
Co (0.6227, 0.1227, 0.0000)
Co (0.8773, 0.6227, 0.0000)
Pd (0.0000, 0.0000, 0.0000)
Pd (0.5000, 0.5000, 0.0000)
Rh (0.1716, 0.6716, 0.5000)
Rh (0.3284, 0.1716, 0.5000)
Rh (0.6716, 0.8284, 0.5000)
Rh (0.8284, 0.3284, 0.5000)

---

Density functional theory data (GGA-PBE) for an optimized crystal structure of Ac2EuP.

Results
* SG: No. 166
* offset from the most stable computed form: 0.0 meV per atom
* ΔH_f (0 K): -526 meV per atom
* DOS at the Fermi energy: 11.6 states/eV/f.u.

Cell: 11.6318 11.6318 11.6318 Å, 20.57 20.57 20.57°
Atoms (fractional coordinates):
Ac (0.1142, 0.1142, 0.1142)
Ac (0.8858, 0.8858, 0.8858)
Eu (0.0000, 0.0000, 0.0000)
P (0.5000, 0.5000, 0.5000)

---

Density functional theory data (GGA-PBE) for an optimized crystal structure of LiInF2.

Results
* SG: No. 160
* offset from the most stable computed form: 74.2 meV per atom
* DOS at the Fermi energy: 1.0 states/eV/f.u.

Cell: 6.5428 6.5428 6.5428 Å, 27.38 27.38 27.38°
Atoms (fractional coordinates):
Li (0.0000, 0.0000, 0.0000)
In (0.1681, 0.1681, 0.1681)
F (0.3942, 0.3942, 0.3942)
F (0.6081, 0.6081, 0.6081)